The following is a PBE+U calculation of a relaxed CrRuO2 crystal, from Alexandria via LeMat-Bulk. Values from VASP.

Cell and atoms, written as Quantum ESPRESSO input:
```
&SYSTEM
  ibrav = 0, nat = 4, ntyp = 3
/
ATOMIC_SPECIES
Cr 52.00 Cr.upf
Ru 101.07 Ru.upf
O 16.00 O.upf
CELL_PARAMETERS angstrom
1.440 0.831 6.196
-1.440 0.831 6.196
0.000 -1.662 6.196
ATOMIC_POSITIONS crystal
Cr 0.000 0.000 0.000
Ru 0.500 0.500 0.500
O 0.391 0.391 0.391
O 0.609 0.609 0.609
```

space group = R-3m
polymorph energy (0 for the lowest one) = 0.00 eV per formula unit
magnetic moment = 4.14 μB per cell